No. 1
A plane-wave DFT calculation with PBE was carried out for a relaxed HoHfAg crystal.

Summary:
uncorrected energy: -35.08 eV/cell
energy relative to the elements: -0.05 eV per atom
density of states at the Fermi level: 10.0 states/eV per cell

Lattice parameters (Å, degrees): 3.346 3.346 12.417 90.00 90.00 90.00
Space group I4mm (No. 107)
Symmetry-distinct sites (fractional):
Ho  0.000  0.000  0.000 (multiplicity 2)
Hf  0.000  0.000  0.680 (multiplicity 2)
Ag  0.000  0.000  0.323 (multiplicity 2)

=====

No. 2
A plane-wave DFT calculation with PBE was carried out for a relaxed HoHfNiAg crystal.

Summary:
uncorrected energy: -95.06 eV/cell
energy relative to the elements: -0.15 eV per atom
density of states at the Fermi level: 11.4 states/eV per cell

Lattice parameters (Å, degrees): 6.798 6.798 6.798 90.00 90.00 90.00
Space group F-43m (No. 216)
Symmetry-distinct sites (fractional):
Ho  0.000  0.000  0.000 (multiplicity 4)
Hf  0.000  0.000  0.500 (multiplicity 4)
Ni  0.250  0.250  0.250 (multiplicity 4)
Ag  0.250  0.250  0.750 (multiplicity 4)